Compound: Co3Ge2
Source: OQMD
Functional: PBE
Structure: relaxed

a = 5.0063 Å, b = 5.0063 Å, c = 17.9154 Å
α = 90.00°, β = 90.00°, γ = 120.00°
Space group R-3m (No. 166, hexagonal axes)
Unique sites:
Co 0.0036 0.5018 0.1068 [18 per cell]
Ge 0.0000 0.0000 0.1143 [6 per cell]
Ge 0.0000 0.0000 0.3328 [6 per cell]

Output
VASP energy = -31.4 eV/f.u.